(1)
The following is a PBE calculation of a relaxed structure of Tc2Ge3, from Alexandria via LeMat-Bulk.

```
data_Tc2Ge3
_chemical_formula_sum 'Tc8 Ge12'
_symmetry_space_group_name_H-M 'C m c e'
_symmetry_Int_Tables_number 64
_symmetry_space_group_name_Hall '-C 2ac 2'
_cell_length_a 5.493
_cell_length_b 8.638
_cell_length_c 6.939
_cell_angle_alpha 90.00
_cell_angle_beta 90.00
_cell_angle_gamma 90.00
loop_
_atom_site_label
_atom_site_fract_x
_atom_site_fract_y
_atom_site_fract_z
Tc1 0.250 0.119 0.250
Ge1 0.000 0.000 0.000
Ge2 0.000 0.147 0.592
```

Computed properties:
The value obtained for the excess energy over the best structure of this formula in the dataset is 0 meV per atom. The total magnetic moment is 0.000 μB per atom. The value obtained for the formation energy is 170 meV per atom. The calculation puts the volume at 329.3 Å³/cell. The calculation puts the total energy at -6.75 eV per atom.


(2)
The following is a PBE calculation of a relaxed structure of Tc2GeTe, from Alexandria via LeMat-Bulk.

```
data_Tc2GeTe
_chemical_formula_sum 'Tc8 Ge4 Te4'
_symmetry_space_group_name_H-M 'I -4 2 d'
_symmetry_Int_Tables_number 122
_symmetry_space_group_name_Hall 'I -4 2bw'
_cell_length_a 5.784
_cell_length_b 5.784
_cell_length_c 11.402
_cell_angle_alpha 90.00
_cell_angle_beta 90.00
_cell_angle_gamma 90.00
loop_
_atom_site_label
_atom_site_fract_x
_atom_site_fract_y
_atom_site_fract_z
Tc1 0.229 0.250 0.125
Ge1 0.000 0.000 0.000
Te1 0.000 0.000 0.500
```

Computed properties:
Its formation energy from raw total energies is 0.7702 eV/atom. The value obtained for the excess energy over the best structure of this formula in the dataset is 640 meV per atom. The total magnetic moment is 0.000 μB per atom. The calculation puts the volume at 381.4 Å³/cell. The calculation puts the total energy at -6.35 eV per atom.


(3)
The following is a PBE calculation of a relaxed structure of TcGe3Te, from Alexandria via LeMat-Bulk.

```
data_TcGe3Te
_chemical_formula_sum 'Tc1 Ge3 Te1'
_symmetry_space_group_name_H-M 'P m -3 m'
_symmetry_Int_Tables_number 221
_symmetry_space_group_name_Hall '-P 4 2 3'
_cell_length_a 4.880
_cell_length_b 4.880
_cell_length_c 4.880
_cell_angle_alpha 90.00
_cell_angle_beta 90.00
_cell_angle_gamma 90.00
loop_
_atom_site_label
_atom_site_fract_x
_atom_site_fract_y
_atom_site_fract_z
Tc1 0.000 0.000 0.000
Ge1 0.000 0.000 0.500
Te1 0.500 0.500 0.500
```

Computed properties:
Its formation energy from raw total energies is 0.2055 eV/atom. The value obtained for the excess energy over the best structure of this formula in the dataset is 0 meV per atom. The total magnetic moment is 0.077 μB per atom. The calculation puts the volume at 116.2 Å³/cell. The calculation puts the total energy at -5.27 eV per atom.